An optimized crystal structure of TaGe2H, computed with GGA-PBEsol.

Lattice parameters (Å, degrees): 6.200 6.200 6.200 90.00 90.00 90.00
Space group Fm-3m (No. 225)
Unique sites:
Ta: 0.000 0.000 0.000
Ge: 0.250 0.250 0.250
H: 0.000 0.000 0.500

Its total energy is -5.6750 eV/atom.



An optimized crystal structure of RbW2SeN, computed with GGA-PBEsol.

Lattice parameters (Å, degrees): 4.082 4.082 5.485 90.00 90.00 90.00
Space group P4/mmm (No. 123)
Unique sites:
Rb: 0.000 0.000 0.000
W: 0.000 0.500 0.500
Se: 0.500 0.500 0.000
N: 0.000 0.000 0.500

Its total energy is -7.4815 eV/atom.



An optimized crystal structure of BaSr2F, computed with GGA-PBEsol.

Lattice parameters (Å, degrees): 11.219 11.219 11.219 90.00 90.00 90.00
Space group Fd-3m (No. 227, origin choice 2)
Unique sites:
Ba: 0.125 0.125 0.125
Sr: 0.000 0.000 0.500
F: 0.125 0.125 0.625

Its total energy is -3.3675 eV/atom.



An optimized crystal structure of ZnCuTe2, computed with GGA-PBEsol.

Lattice parameters (Å, degrees): 6.183 7.689 4.268 90.00 118.89 90.00
Space group C2/m (No. 12)
Unique sites:
Zn: 0.000 0.000 0.000
Cu: 0.000 0.500 0.000
Te: 0.250 0.250 0.500

Its total energy is -3.1201 eV/atom.



An optimized crystal structure of RePH3, computed with GGA-PBEsol.

Lattice parameters (Å, degrees): 3.459 3.459 3.459 90.00 90.00 90.00
Space group Pm-3m (No. 221)
Unique sites:
Re: 0.000 0.000 0.000
P: 0.500 0.500 0.500
H: 0.000 0.000 0.500

Its total energy is -5.0731 eV/atom.



An optimized crystal structure of SrYTc, computed with GGA-PBEsol.

Lattice parameters (Å, degrees): 3.522 3.522 13.004 90.00 90.00 90.00
Space group I4mm (No. 107)
Unique sites:
Sr: 0.000 0.000 0.000
Y: 0.000 0.000 0.259
Tc: 0.000 0.000 0.656

The calculation puts the energy relative to the elements at 1.29 eV/f.u.